[1]
! Tb2Er2Ag, relaxed, DFT GGA-PBE; values from VASP
! Energy   -4.353 eV per atom
! Density of states at the Fermi level   6.0 states/eV per cell
&SYSTEM
  ibrav = 0, nat = 5, ntyp = 3
/
ATOMIC_SPECIES
Tb 158.93 Tb.upf
Er 167.26 Er.upf
Ag 107.87 Ag.upf
CELL_PARAMETERS angstrom
-1.767 1.767 11.383
1.767 -1.767 11.383
1.767 1.767 -11.383
ATOMIC_POSITIONS crystal
Tb 0.195 0.195 0.000
Tb 0.805 0.805 0.000
Er 0.417 0.417 0.000
Er 0.583 0.583 0.000
Ag 0.000 0.000 0.000

---

[2]
! Tb2ErAg5, relaxed, DFT GGA-PBE; values from VASP
! Energy   -3.747 eV per atom
! Density of states at the Fermi level   5.4 states/eV per cell
&SYSTEM
  ibrav = 0, nat = 8, ntyp = 3
/
ATOMIC_SPECIES
Tb 158.93 Tb.upf
Er 167.26 Er.upf
Ag 107.87 Ag.upf
CELL_PARAMETERS angstrom
-2.525 2.525 7.067
2.525 -2.525 7.067
2.525 2.525 -7.067
ATOMIC_POSITIONS crystal
Tb 0.235 0.235 0.000
Tb 0.765 0.765 0.000
Er 0.500 0.500 0.000
Ag 0.000 0.000 0.000
Ag 0.119 0.619 0.500
Ag 0.381 0.881 0.500
Ag 0.619 0.119 0.500
Ag 0.881 0.381 0.500

---

[3]
! TbEr5Ag6, relaxed, DFT GGA-PBE; values from VASP
! Energy   -4.046 eV per atom
! Density of states at the Fermi level   5.5 states/eV per cell
&SYSTEM
  ibrav = 0, nat = 12, ntyp = 3
/
ATOMIC_SPECIES
Tb 158.93 Tb.upf
Er 167.26 Er.upf
Ag 107.87 Ag.upf
CELL_PARAMETERS angstrom
2.567 -7.695 0.000
2.567 7.695 0.000
0.000 0.000 7.160
ATOMIC_POSITIONS crystal
Tb 0.000 0.000 0.000
Er 0.000 0.000 0.500
Er 0.333 0.667 0.000
Er 0.334 0.666 0.500
Er 0.666 0.334 0.500
Er 0.667 0.333 0.000
Ag 0.168 0.832 0.252
Ag 0.168 0.832 0.748
Ag 0.500 0.500 0.253
Ag 0.500 0.500 0.747
Ag 0.832 0.168 0.252
Ag 0.832 0.168 0.748

---

[4]
! Tb3Er4Ag4, relaxed, DFT GGA-PBE; values from VASP
! Energy   -4.074 eV per atom
! Density of states at the Fermi level   10.1 states/eV per cell
&SYSTEM
  ibrav = 0, nat = 11, ntyp = 3
/
ATOMIC_SPECIES
Tb 158.93 Tb.upf
Er 167.26 Er.upf
Ag 107.87 Ag.upf
CELL_PARAMETERS angstrom
-2.501 3.747 7.855
2.501 -3.747 7.855
2.501 3.747 -7.855
ATOMIC_POSITIONS crystal
Tb 0.000 0.000 0.000
Tb 0.395 0.895 0.500
Tb 0.605 0.105 0.500
Er 0.046 0.325 0.721
Er 0.396 0.675 0.721
Er 0.604 0.325 0.279
Er 0.954 0.675 0.279
Ag 0.197 0.197 0.000
Ag 0.312 0.500 0.812
Ag 0.688 0.500 0.188
Ag 0.803 0.803 0.000